Entry from Alexandria: a geometry-optimized CoP3H structure (GGA-PBE).

Calculated values
DFT total energy ... -5.427 eV/atom
Total moment ... 0.00 μB per atom
Density of states at the Fermi level ... 0.41 states/eV per atom
Energy relative to the lowest polymorph listed for this composition ... 17.0 meV/atom

abc: 4.299 3.248 5.351
angles: 90.00 107.97 90.00
Space group Pm (No. 6)
One atom of each set of equivalent atoms:
Co 0.000 0.000 0.000
P 0.536 0.000 0.116
P 0.846 0.500 0.719
P 0.878 0.500 0.298
H 0.496 0.500 0.607

Entry from Alexandria: a geometry-optimized Co2P2H structure (GGA-PBE).

Calculated values
DFT total energy ... -5.914 eV/atom
Total moment ... 0.00 μB per atom
Density of states at the Fermi level ... 0.41 states/eV per atom
Energy relative to the lowest polymorph listed for this composition ... 7.1 meV/atom

abc: 3.719 3.789 4.225
angles: 87.90 72.85 67.83
Space group P-1 (No. 2)
One atom of each set of equivalent atoms:
Co 0.193 0.292 0.201
P 0.189 0.080 0.713
H 0.500 0.500 0.000

Entry from Alexandria: a geometry-optimized CoP3H structure (GGA-PBE).

Calculated values
DFT total energy ... -5.444 eV/atom
Total moment ... 0.00 μB per atom
Density of states at the Fermi level ... 0.35 states/eV per atom
Energy relative to the lowest polymorph listed for this composition ... 0.0 meV/atom

abc: 4.255 3.263 5.044
angles: 90.00 97.25 90.00
Space group Pm (No. 6)
One atom of each set of equivalent atoms:
Co 0.000 0.000 0.000
P 0.047 0.500 0.720
P 0.504 0.000 0.145
P 0.825 0.500 0.288
H 0.351 0.500 0.625

Entry from Alexandria: a geometry-optimized CoP3H structure (GGA-PBE).

Calculated values
DFT total energy ... -5.259 eV/atom
Total moment ... 0.00 μB per atom
Density of states at the Fermi level ... 0.30 states/eV per atom
Energy relative to the lowest polymorph listed for this composition ... 185.3 meV/atom

abc: 3.727 4.236 4.516
angles: 102.88 111.32 91.83
Space group P1 (No. 1)
One atom of each set of equivalent atoms:
Co 0.000 0.000 0.000
P 0.238 0.531 0.140
P 0.388 0.726 0.760
P 0.658 0.192 0.284
H 0.781 0.139 0.644

Entry from Alexandria: a geometry-optimized Co2P2H structure (GGA-PBE).

Calculated values
DFT total energy ... -5.829 eV/atom
Total moment ... 0.10 μB per atom
Density of states at the Fermi level ... 0.76 states/eV per atom
Energy relative to the lowest polymorph listed for this composition ... 91.6 meV/atom

abc: 7.718 2.602 5.609
angles: 90.00 90.84 90.00
Space group Cm (No. 8)
One atom of each set of equivalent atoms:
Co 0.000 0.000 0.000
Co 0.142 0.500 0.368
P 0.137 0.500 0.751
P 0.365 0.000 0.278
H 0.333 0.500 0.807

Entry from Alexandria: a geometry-optimized CoP3H structure (GGA-PBE).

Calculated values
DFT total energy ... -4.376 eV/atom
Total moment ... 0.00 μB per atom
Density of states at the Fermi level ... 0.88 states/eV per atom
Energy relative to the lowest polymorph listed for this composition ... 1068.7 meV/atom

abc: 4.307 4.307 4.307
angles: 90.00 90.00 90.00
Space group Pm-3m (No. 221)
One atom of each set of equivalent atoms:
Co 0.000 0.000 0.000
P 0.000 0.000 0.500
H 0.500 0.500 0.500

- energy relative to the lowest polymorph listed for this composition of number 3 (CoP3H)?
  0.0 meV/atom